Entry 1:
# Ta2PH, optimized geometry, DFT GGA-PBEsol
# Calculated density: 13021 kg/m³
# Calculated volume: 12.558 Å³ per atom
# DFT total energy: -9.1413 eV/atom
data_Ta2PH
_chemical_formula_sum 'Ta4 P2 H2'
_space_group_name_H-M_alt 'P 1'
_space_group_IT_number 1
_cell_length_a 4.6997
_cell_length_b 4.6997
_cell_length_c 4.8527
_cell_angle_alpha 104.44
_cell_angle_beta 104.44
_cell_angle_gamma 88.14
loop_
_space_group_symop_operation_xyz
'x,y,z'
loop_
_atom_site_label
_atom_site_fract_x
_atom_site_fract_y
_atom_site_fract_z
_atom_site_occupancy
Ta1 0.0000 0.0000 0.0000 1
Ta2 0.1009 0.6066 0.4014 1
Ta3 0.5070 0.5070 0.0055 1
Ta4 0.6066 0.1009 0.4014 1
P1 0.4539 0.9558 0.8068 1
P2 0.9558 0.4539 0.8068 1
H1 0.1870 0.1870 0.3985 1
H2 0.5194 0.5194 0.4037 1

Entry 2:
# Tc3PH, optimized geometry, DFT GGA-PBEsol
# Calculated density: 6809 kg/m³
# Calculated volume: 15.899 Å³ per atom
# DFT total energy: -7.1796 eV/atom
data_Tc3PH
_chemical_formula_sum 'Tc3 P1 H1'
_space_group_name_H-M_alt 'P 1'
_space_group_IT_number 1
_cell_length_a 4.2998
_cell_length_b 4.2998
_cell_length_c 4.2998
_cell_angle_alpha 90.00
_cell_angle_beta 90.00
_cell_angle_gamma 90.00
loop_
_space_group_symop_operation_xyz
'x,y,z'
loop_
_atom_site_label
_atom_site_fract_x
_atom_site_fract_y
_atom_site_fract_z
_atom_site_occupancy
Tc1 0.0000 0.0000 0.5000 1
Tc2 0.0000 0.5000 0.0000 1
Tc3 0.5000 0.0000 0.0000 1
P1 0.0000 0.0000 0.0000 1
H1 0.5000 0.5000 0.5000 1

Entry 3:
# Te2PH, optimized geometry, DFT GGA-PBEsol
# Calculated density: 4929 kg/m³
# Calculated volume: 24.189 Å³ per atom
# DFT total energy: -3.7300 eV/atom
data_Te2PH
_chemical_formula_sum 'Te2 P1 H1'
_space_group_name_H-M_alt 'P 1'
_space_group_IT_number 1
_cell_length_a 7.3614
_cell_length_b 7.3614
_cell_length_c 7.3614
_cell_angle_alpha 31.51
_cell_angle_beta 31.51
_cell_angle_gamma 31.51
loop_
_space_group_symop_operation_xyz
'x,y,z'
loop_
_atom_site_label
_atom_site_fract_x
_atom_site_fract_y
_atom_site_fract_z
_atom_site_occupancy
Te1 0.0933 0.0933 0.0933 1
Te2 0.9067 0.9067 0.9067 1
P1 0.5000 0.5000 0.5000 1
H1 0.0000 0.0000 0.0000 1

Entry 4:
# TiPH, optimized geometry, DFT GGA-PBEsol
# Calculated density: 4293 kg/m³
# Calculated volume: 10.296 Å³ per atom
# DFT total energy: -6.7070 eV/atom
data_TiPH
_chemical_formula_sum 'Ti1 P1 H1'
_space_group_name_H-M_alt 'P 1'
_space_group_IT_number 1
_cell_length_a 3.3036
_cell_length_b 3.3036
_cell_length_c 3.2681
_cell_angle_alpha 90.00
_cell_angle_beta 90.00
_cell_angle_gamma 120.00
loop_
_space_group_symop_operation_xyz
'x,y,z'
loop_
_atom_site_label
_atom_site_fract_x
_atom_site_fract_y
_atom_site_fract_z
_atom_site_occupancy
Ti1 0.0000 0.0000 0.0000 1
P1 0.3333 0.6667 0.5000 1
H1 0.6667 0.3333 0.0000 1

Entry 5:
# Ti2PH2, optimized geometry, DFT GGA-PBEsol
# Calculated density: 4400 kg/m³
# Calculated volume: 9.717 Å³ per atom
# DFT total energy: -6.5281 eV/atom
data_Ti2PH2
_chemical_formula_sum 'Ti2 P1 H2'
_space_group_name_H-M_alt 'P 1'
_space_group_IT_number 1
_cell_length_a 5.6367
_cell_length_b 5.6367
_cell_length_c 5.6367
_cell_angle_alpha 148.56
_cell_angle_beta 148.56
_cell_angle_gamma 45.07
loop_
_space_group_symop_operation_xyz
'x,y,z'
loop_
_atom_site_label
_atom_site_fract_x
_atom_site_fract_y
_atom_site_fract_z
_atom_site_occupancy
Ti1 0.1310 0.1310 0.0000 1
Ti2 0.8690 0.8690 0.0000 1
P1 0.5000 0.5000 0.0000 1
H1 0.2500 0.7500 0.5000 1
H2 0.7500 0.2500 0.5000 1

Entry 6:
# Ti3PH, optimized geometry, DFT GGA-PBEsol
# E above lowest polymorph: 0 meV/atom
# Calculated density: 4943 kg/m³
# Calculated volume: 11.797 Å³ per atom
data_Ti3PH
_chemical_formula_sum 'Ti3 P1 H1'
_space_group_name_H-M_alt 'P 1'
_space_group_IT_number 1
_cell_length_a 3.8926
_cell_length_b 3.8926
_cell_length_c 3.8926
_cell_angle_alpha 90.00
_cell_angle_beta 90.00
_cell_angle_gamma 90.00
loop_
_space_group_symop_operation_xyz
'x,y,z'
loop_
_atom_site_label
_atom_site_fract_x
_atom_site_fract_y
_atom_site_fract_z
_atom_site_occupancy
Ti1 0.0000 0.0000 0.5000 1
Ti2 0.0000 0.5000 0.0000 1
Ti3 0.5000 0.0000 0.0000 1
P1 0.5000 0.5000 0.5000 1
H1 0.0000 0.0000 0.0000 1

no.,Fermi-level density of states (states/eV/cell),magnetic moment (μB/f.u.)
1,1.4,0.00
2,3.8,0.00
3,0.1,0.00
4,0.2,0.00
5,2.2,0.00
6,4.6,0.00